The following is a DFT calculation (PBE) of a geometry-optimized La2Pm3Ho4 structure. Values from VASP.

DOS(E_F)	16.32	states/eV per cell
V	33.88	A^3/atom
energy relative to the elements	60	meV per atom
symmetry	P3m1, No. 156

Geometry as Quantum ESPRESSO input:
```
&SYSTEM
  ibrav = 0, nat = 9, ntyp = 3
/
ATOMIC_SPECIES
La 138.91 La.upf
Pm 145.00 Pm.upf
Ho 164.93 Ho.upf
CELL_PARAMETERS angstrom
3.6206 0.0000 0.0000
-1.8103 3.1355 0.0000
0.0000 0.0000 26.8599
ATOMIC_POSITIONS crystal
La 0.0000 0.0000 0.0000
La 0.0000 0.0000 0.2290
Pm 0.0000 0.0000 0.7826
Pm 0.3333 0.6667 0.1176
Pm 0.3333 0.6667 0.4623
Ho 0.0000 0.0000 0.3570
Ho 0.0000 0.0000 0.5716
Ho 0.3333 0.6667 0.6747
Ho 0.3333 0.6667 0.8902
```